<P>
TlPbSN2 | PBE | optimized geometry

Cell lengths 4.417, 4.417, 5.526 Å; angles 90.00, 90.00, 90.00 degrees
Space group P4/mmm (No. 123)
Inequivalent atoms, fractional coordinates:
1 Tl 0.000 0.000 0.000 x1
2 Pb 0.500 0.500 0.500 x1
3 S 0.000 0.000 0.500 x1
4 N 0.000 0.500 0.000 x2

## Properties
The value obtained for the density of states at the Fermi level is 1.95 states/eV/cell. Its theoretical density is 7.26 g/cm3.

***

<Q>
TlPbSN2 | PBE | optimized geometry

Cell lengths 4.593, 4.593, 5.438 Å; angles 90.00, 90.00, 90.00 degrees
Space group P4/mmm (No. 123)
Inequivalent atoms, fractional coordinates:
1 Tl 0.000 0.000 0.000 x1
2 Pb 0.500 0.500 0.500 x1
3 S 0.500 0.500 0.000 x1
4 N 0.000 0.500 0.500 x2

## Properties
The value obtained for the density of states at the Fermi level is 2.02 states/eV/cell. Its theoretical density is 6.83 g/cm3.

***

Energy above the most stable structure, in kJ/mol of atoms: <P> 6.7; <Q> 0.0

***

<P>
ZnPbSN2 | PBE | optimized geometry

Cell lengths 4.063, 4.063, 5.086 Å; angles 90.00, 90.00, 90.00 degrees
Space group P4/mmm (No. 123)
Inequivalent atoms, fractional coordinates:
1 Zn 0.000 0.000 0.000 x1
2 Pb 0.500 0.500 0.500 x1
3 S 0.000 0.000 0.500 x1
4 N 0.000 0.500 0.000 x2

## Properties
The value obtained for the density of states at the Fermi level is 1.85 states/eV/cell. Its theoretical density is 6.58 g/cm3.

***

<Q>
ZnPbSN2 | PBE | optimized geometry

Cell lengths 4.409, 4.409, 5.609 Å; angles 90.00, 90.00, 90.00 degrees
Space group P4/mmm (No. 123)
Inequivalent atoms, fractional coordinates:
1 Zn 0.000 0.000 0.000 x1
2 Pb 0.500 0.500 0.500 x1
3 S 0.500 0.500 0.000 x1
4 N 0.000 0.500 0.500 x2

## Properties
The value obtained for the density of states at the Fermi level is 2.67 states/eV/cell. Its theoretical density is 5.07 g/cm3.

***

Energy above the most stable structure, in kJ/mol of atoms: <P> 0.0; <Q> 48.4

***

<P>
ZrPbS2N | PBE | optimized geometry

Cell lengths 5.133, 5.133, 4.155 Å; angles 90.00, 90.00, 90.00 degrees
Space group P4/mmm (No. 123)
Inequivalent atoms, fractional coordinates:
1 Zr 0.000 0.000 0.000 x1
2 Pb 0.500 0.500 0.500 x1
3 S 0.000 0.500 0.000 x2
4 N 0.000 0.000 0.500 x1

## Properties
The value obtained for the density of states at the Fermi level is 2.72 states/eV/cell. Its theoretical density is 5.71 g/cm3.

***

<Q>
ZrPbS2N | PBE | optimized geometry

Cell lengths 5.135, 5.135, 4.316 Å; angles 90.00, 90.00, 90.00 degrees
Space group P4/mmm (No. 123)
Inequivalent atoms, fractional coordinates:
1 Zr 0.000 0.000 0.000 x1
2 Pb 0.500 0.500 0.500 x1
3 S 0.000 0.500 0.500 x2
4 N 0.500 0.500 0.000 x1

## Properties
The value obtained for the density of states at the Fermi level is 3.28 states/eV/cell. Its theoretical density is 5.49 g/cm3.

***

Energy above the most stable structure, in kJ/mol of atoms: <P> 0.0; <Q> 127.1

***

<P>
Sc5Pb2N | PBE | optimized geometry

Cell lengths 4.187, 16.455, 11.692 Å; angles 90.00, 90.00, 90.00 degrees
Space group Cmcm (No. 63)
Inequivalent atoms, fractional coordinates:
1 Sc 0.000 0.118 0.118 x8
2 Sc 0.000 0.268 0.750 x4
3 Sc 0.000 0.299 0.079 x8
4 Pb 0.000 0.067 0.625 x8
5 N 0.000 0.217 0.250 x4

## Properties
The value obtained for the density of states at the Fermi level is 35.01 states/eV/cell. Its theoretical density is 5.39 g/cm3.

***

<Q>
Sc5Pb2N | PBE | optimized geometry

Cell lengths 8.009, 6.327, 13.345 Å; angles 90.00, 90.00, 90.00 degrees
Space group Pnma (No. 62)
Inequivalent atoms, fractional coordinates:
1 Sc 0.000 0.000 0.000 x4
2 Sc 0.038 0.250 0.202 x4
3 Sc 0.155 0.507 0.619 x8
4 Sc 0.206 0.750 0.405 x4
5 Pb 0.038 0.750 0.204 x4
6 Pb 0.180 0.250 0.418 x4
7 N 0.178 0.250 0.056 x4

## Properties
The value obtained for the density of states at the Fermi level is 30.27 states/eV/cell. Its theoretical density is 6.42 g/cm3.

***

Energy above the most stable structure, in kJ/mol of atoms: <P> 43.3; <Q> 0.0

***

<P>
ScPb3N | PBE | optimized geometry

Cell lengths 4.980, 4.980, 4.980 Å; angles 90.00, 90.00, 90.00 degrees
Space group Pm-3m (No. 221)
Inequivalent atoms, fractional coordinates:
1 Sc 0.000 0.000 0.000 x1
2 Pb 0.000 0.500 0.500 x3
3 N 0.500 0.500 0.500 x1

## Properties
The value obtained for the density of states at the Fermi level is 5.46 states/eV/cell. Its theoretical density is 9.15 g/cm3.

***

<Q>
ScPb3N | PBE | optimized geometry

Cell lengths 5.672, 5.672, 5.672 Å; angles 90.00, 90.00, 90.00 degrees
Space group Pm-3m (No. 221)
Inequivalent atoms, fractional coordinates:
1 Sc 0.000 0.000 0.000 x1
2 Pb 0.000 0.000 0.500 x3
3 N 0.500 0.500 0.500 x1

## Properties
The value obtained for the density of states at the Fermi level is 6.12 states/eV/cell. Its theoretical density is 6.19 g/cm3.

***

Energy above the most stable structure, in kJ/mol of atoms: <P> 0.0; <Q> 75.6

***

<P>
ScPbSeN2 | PBE | optimized geometry

Cell lengths 4.755, 4.755, 13.126 Å; angles 90.00, 90.00, 90.00 degrees
Space group P4/mmm (No. 123)
Inequivalent atoms, fractional coordinates:
1 Sc 0.000 0.000 0.000 x1
2 Pb 0.500 0.500 0.500 x1
3 Se 0.000 0.000 0.500 x1
4 N 0.000 0.500 0.000 x2

## Properties
The value obtained for the density of states at the Fermi level is 4.58 states/eV/cell. Its theoretical density is 2.01 g/cm3.

***

<Q>
ScPbSeN2 | PBE | optimized geometry

Cell lengths 4.208, 4.208, 5.599 Å; angles 90.00, 90.00, 90.00 degrees
Space group P4/mmm (No. 123)
Inequivalent atoms, fractional coordinates:
1 Sc 0.000 0.000 0.000 x1
2 Pb 0.500 0.500 0.500 x1
3 Se 0.500 0.500 0.000 x1
4 N 0.000 0.500 0.500 x2

## Properties
The value obtained for the density of states at the Fermi level is 2.28 states/eV/cell. Its theoretical density is 6.02 g/cm3.

***

Energy above the most stable structure, in kJ/mol of atoms: <P> 8.1; <Q> 0.0

***

<P>
ScTePbN2 | PBE | optimized geometry

Cell lengths 4.413, 4.413, 5.780 Å; angles 90.00, 90.00, 90.00 degrees
Space group P4/mmm (No. 123)
Inequivalent atoms, fractional coordinates:
1 Sc 0.000 0.000 0.000 x1
2 Te 0.000 0.000 0.500 x1
3 Pb 0.500 0.500 0.500 x1
4 N 0.000 0.500 0.000 x2

## Properties
The value obtained for the density of states at the Fermi level is 2.44 states/eV/cell. Its theoretical density is 6.02 g/cm3.

***

<Q>
ScTePbN2 | PBE | optimized geometry

Cell lengths 4.359, 4.359, 6.136 Å; angles 90.00, 90.00, 90.00 degrees
Space group P4/mmm (No. 123)
Inequivalent atoms, fractional coordinates:
1 Sc 0.000 0.000 0.000 x1
2 Te 0.500 0.500 0.000 x1
3 Pb 0.500 0.500 0.500 x1
4 N 0.000 0.500 0.500 x2

## Properties
The value obtained for the density of states at the Fermi level is 4.57 states/eV/cell. Its theoretical density is 5.81 g/cm3.

***

Energy above the most stable structure, in kJ/mol of atoms: <P> 0.0; <Q> 68.8

***

<P>
PbSe2N2 | PBE | optimized geometry

Cell lengths 5.643, 5.643, 4.574 Å; angles 90.00, 90.00, 90.00 degrees
Space group P4/mmm (No. 123)
Inequivalent atoms, fractional coordinates:
1 Pb 0.000 0.000 0.000 x1
2 Se 0.000 0.500 0.000 x2
3 N 0.000 0.000 0.500 x1
4 N 0.500 0.500 0.500 x1

## Properties
The value obtained for the density of states at the Fermi level is 3.11 states/eV/cell. Its theoretical density is 4.48 g/cm3.

***

<Q>
PbSe2N2 | PBE | optimized geometry

Cell lengths 4.379, 4.379, 4.528 Å; angles 90.00, 90.00, 90.00 degrees
Space group P4/mmm (No. 123)
Inequivalent atoms, fractional coordinates:
1 Pb 0.000 0.000 0.000 x1
2 Se 0.000 0.500 0.500 x2
3 N 0.500 0.500 0.000 x1
4 N 0.500 0.500 0.500 x1

## Properties
The value obtained for the density of states at the Fermi level is 1.74 states/eV/cell. Its theoretical density is 7.52 g/cm3.

***

<R>
PbSe2N2 | PBE | optimized geometry

Cell lengths 4.099, 4.099, 5.355 Å; angles 90.00, 90.00, 90.00 degrees
Space group P4/mmm (No. 123)
Inequivalent atoms, fractional coordinates:
1 Pb 0.000 0.000 0.000 x1
2 Se 0.500 0.500 0.000 x1
3 Se 0.500 0.500 0.500 x1
4 N 0.000 0.500 0.500 x2

## Properties
The value obtained for the density of states at the Fermi level is 3.68 states/eV/cell. Its theoretical density is 7.26 g/cm3.

***

Energy above the most stable structure, in kJ/mol of atoms: <P> 80.5; <Q> 9.7; <R> 0.0

***

<P>
PbSe3N | PBE | optimized geometry

Cell lengths 4.622, 4.622, 4.622 Å; angles 90.00, 90.00, 90.00 degrees
Space group Pm-3m (No. 221)
Inequivalent atoms, fractional coordinates:
1 Pb 0.000 0.000 0.000 x1
2 Se 0.000 0.500 0.500 x3
3 N 0.500 0.500 0.500 x1

## Properties
The value obtained for the density of states at the Fermi level is 2.90 states/eV/cell. Its theoretical density is 7.70 g/cm3.

***

<Q>
PbSe3N | PBE | optimized geometry

Cell lengths 5.642, 5.642, 5.642 Å; angles 90.00, 90.00, 90.00 degrees
Space group Pm-3m (No. 221)
Inequivalent atoms, fractional coordinates:
1 Pb 0.000 0.000 0.000 x1
2 Se 0.000 0.000 0.500 x3
3 N 0.500 0.500 0.500 x1

## Properties
The value obtained for the density of states at the Fermi level is 7.62 states/eV/cell. Its theoretical density is 4.23 g/cm3.

***

Energy above the most stable structure, in kJ/mol of atoms: <P> 0.0; <Q> 92.5

***

<P>
Pb2SeN | PBE | optimized geometry

Cell lengths 6.879, 6.879, 8.710 Å; angles 90.00, 90.00, 90.00 degrees
Space group I-42d (No. 122)
Inequivalent atoms, fractional coordinates:
1 Pb 0.181 0.750 0.125 x8
2 Se 0.000 0.000 0.500 x4
3 N 0.000 0.000 0.000 x4

## Properties
The value obtained for the density of states at the Fermi level is 8.62 states/eV/cell. Its theoretical density is 8.18 g/cm3.

***

<Q>
Pb2SeN | PBE | optimized geometry

Cell lengths 7.130, 7.130, 7.130 Å; angles 90.00, 90.00, 90.00 degrees
Space group Fm-3m (No. 225)
Inequivalent atoms, fractional coordinates:
1 Pb 0.250 0.250 0.250 x8
2 Se 0.000 0.000 0.000 x4
3 N 0.000 0.000 0.500 x4

## Properties
The value obtained for the density of states at the Fermi level is 6.24 states/eV/cell. Its theoretical density is 9.30 g/cm3.

***

Energy above the most stable structure, in kJ/mol of atoms: <P> 0.0; <Q> 43.7

***

<P>
SnPbSe2N | PBE | optimized geometry

Cell lengths 5.431, 5.431, 4.101 Å; angles 90.00, 90.00, 90.00 degrees
Space group P4/mmm (No. 123)
Inequivalent atoms, fractional coordinates:
1 Sn 0.000 0.000 0.000 x1
2 Pb 0.500 0.500 0.500 x1
3 Se 0.000 0.500 0.000 x2
4 N 0.000 0.000 0.500 x1

## Properties
The value obtained for the density of states at the Fermi level is 1.85 states/eV/cell. Its theoretical density is 6.84 g/cm3.

***

<Q>
SnPbSe2N | PBE | optimized geometry

Cell lengths 5.539, 5.539, 4.310 Å; angles 90.00, 90.00, 90.00 degrees
Space group P4/mmm (No. 123)
Inequivalent atoms, fractional coordinates:
1 Sn 0.000 0.000 0.000 x1
2 Pb 0.500 0.500 0.500 x1
3 Se 0.000 0.500 0.500 x2
4 N 0.500 0.500 0.000 x1

## Properties
The value obtained for the density of states at the Fermi level is 1.84 states/eV/cell. Its theoretical density is 6.25 g/cm3.

***

Energy above the most stable structure, in kJ/mol of atoms: <P> 0.0; <Q> 37.8

***

<P>
SnPbSeN2 | PBE | optimized geometry

Cell lengths 4.442, 4.442, 5.723 Å; angles 90.00, 90.00, 90.00 degrees
Space group P4/mmm (No. 123)
Inequivalent atoms, fractional coordinates:
1 Sn 0.000 0.000 0.000 x1
2 Pb 0.500 0.500 0.500 x1
3 Se 0.500 0.500 0.000 x1
4 N 0.000 0.500 0.500 x2

## Properties
The value obtained for the density of states at the Fermi level is 2.29 states/eV/cell. Its theoretical density is 6.37 g/cm3.

***

<Q>
SnPbSeN2 | PBE | optimized geometry

Cell lengths 4.286, 4.286, 5.528 Å; angles 90.00, 90.00, 90.00 degrees
Space group P4/mmm (No. 123)
Inequivalent atoms, fractional coordinates:
1 Sn 0.000 0.000 0.000 x1
2 Pb 0.500 0.500 0.500 x1
3 Se 0.000 0.000 0.500 x1
4 N 0.000 0.500 0.000 x2

## Properties
The value obtained for the density of states at the Fermi level is 2.08 states/eV/cell. Its theoretical density is 7.08 g/cm3.

***

Energy above the most stable structure, in kJ/mol of atoms: <P> 42.2; <Q> 0.0